1.
The following is a DFT calculation (GGA-PBE) of an optimized crystal structure of La2CdTe2.

Output
For the uncorrected formation energy, the calculation gives -1.078 eV/atom. As for the energy relative to the lowest polymorph listed for this composition: 7.6 meV/atom. The value obtained for the total energy is -4.4887 eV/atom. Its magnetization is 0.00 μB per formula unit. As for the symmetry: No. 127.

Lattice parameters (Å, degrees): 8.8116 8.8116 4.0971 90.00 90.00 90.00
With the nearest neighbours (Å) after each atom.
Atoms (fractional coordinates):
Cd: 0.0000 0.0000 0.0000  4 Te 3.39
Cd: 0.5000 0.5000 0.0000  4 Te 3.39
Te: 0.3581 0.8581 0.0000  6 La 3.24-3.33, 2 Cd 3.39, 1 Te 3.54
Te: 0.8581 0.6419 0.0000  6 La 3.24-3.33, 2 Cd 3.39, 1 Te 3.54
Te: 0.6419 0.1419 0.0000  6 La 3.24-3.33, 2 Cd 3.39, 1 Te 3.54
Te: 0.1419 0.3581 0.0000  6 La 3.24-3.33, 2 Cd 3.39, 1 Te 3.54
La: 0.1563 0.6563 0.5000  6 Te 3.24-3.33
La: 0.6563 0.8437 0.5000  6 Te 3.24-3.33
La: 0.8437 0.3437 0.5000  6 Te 3.24-3.33
La: 0.3437 0.1563 0.5000  6 Te 3.24-3.33

***

2.
The following is a DFT calculation (GGA-PBE) of an optimized crystal structure of La2CdTe2.

Output
For the uncorrected formation energy, the calculation gives -0.819 eV/atom. As for the energy relative to the lowest polymorph listed for this composition: 266.4 meV/atom. The value obtained for the total energy is -4.2299 eV/atom. Its magnetization is 0.00 μB per formula unit. As for the symmetry: No. 139.

Lattice parameters (Å, degrees): 5.6601 5.6601 7.5942 68.12 68.12 90.00
With the nearest neighbours (Å) after each atom.
Atoms (fractional coordinates):
Cd: 0.0000 0.0000 0.0000  8 La 4.29, 10 Te 4.40-4.62
Te: 0.3579 0.3579 0.2841  4 La 3.15
Te: 0.6421 0.6421 0.7159  4 La 3.15
La: 0.7500 0.2500 0.5000  4 Te 3.15
La: 0.2500 0.7500 0.5000  4 Te 3.15

***

3.
The following is a DFT calculation (GGA-PBE) of an optimized crystal structure of LaCd2Te.

Output
For the uncorrected formation energy, the calculation gives -0.587 eV/atom. The value obtained for the total energy is -3.0623 eV/atom. Its magnetization is 0.00 μB per formula unit. As for the symmetry: No. 6.

Lattice parameters (Å, degrees): 4.1312 4.1057 8.0328 59.26 90.00 90.00
With the nearest neighbours (Å) after each atom.
Atoms (fractional coordinates):
Cd: 0.0000 0.9594 0.0389  4 Cd 3.14, 1 La 3.35
Cd: 0.5000 0.2896 0.2092  4 Cd 3.14, 1 Te 3.32
Te: 0.5000 0.7730 0.7284  4 La 3.24, 6 Cd 3.32-3.62
La: 0.0000 0.4780 0.5235  4 Te 3.24, 4 Cd 3.35-3.63

***

4.
The following is a DFT calculation (GGA-PBE) of an optimized crystal structure of La2CdTe.

Output
For the uncorrected formation energy, the calculation gives -0.262 eV/atom. As for the energy relative to the lowest polymorph listed for this composition: 591.6 meV/atom. The value obtained for the total energy is -3.7404 eV/atom. Its magnetization is 0.00 μB per formula unit. As for the symmetry: No. 216.

Lattice parameters (Å, degrees): 5.5331 5.5331 5.5331 60.00 60.00 60.00
With the nearest neighbours (Å) after each atom.
Atoms (fractional coordinates):
Cd: 0.5000 0.5000 0.5000  4 La 3.39, 4 Te 3.39
Te: 0.7500 0.7500 0.7500  4 Cd 3.39, 4 La 3.39
La: 0.0000 0.0000 0.0000  4 Te 3.39, 4 La 3.39
La: 0.2500 0.2500 0.2500  4 La 3.39, 4 Cd 3.39

***

5.
The following is a DFT calculation (GGA-PBE) of an optimized crystal structure of LaCd2Te.

Output
For the uncorrected formation energy, the calculation gives -0.494 eV/atom. The value obtained for the total energy is -2.9684 eV/atom. Its magnetization is 0.00 μB per formula unit. As for the symmetry: No. 216.

Lattice parameters (Å, degrees): 5.4432 5.4432 5.4432 60.00 60.00 60.00
With the nearest neighbours (Å) after each atom.
Atoms (fractional coordinates):
Cd: 0.0000 0.0000 0.0000  4 Cd 3.33, 4 Te 3.33
Cd: 0.2500 0.2500 0.2500  4 Cd 3.33, 4 La 3.33
Te: 0.7500 0.7500 0.7500  4 La 3.33, 4 Cd 3.33
La: 0.5000 0.5000 0.5000  4 Te 3.33, 4 Cd 3.33

***

6.
The following is a DFT calculation (GGA-PBE) of an optimized crystal structure of La2Tl3CdTe6.

Output
For the uncorrected formation energy, the calculation gives -0.803 eV/atom. The value obtained for the total energy is -3.8633 eV/atom. Its magnetization is 0.00 μB per formula unit. As for the symmetry: No. 12.

Lattice parameters (Å, degrees): 7.9540 7.9540 8.3739 99.22 99.22 120.23
With the nearest neighbours (Å) after each atom.
Atoms (fractional coordinates):
La: 0.3354 0.6646 0.0000  6 Te 3.22-3.23
La: 0.6646 0.3354 0.0000  6 Te 3.22-3.23
Tl: 0.1739 0.8261 0.5000  6 Te 3.42-3.44
Tl: 0.8261 0.1739 0.5000  6 Te 3.42-3.44
Tl: 0.5000 0.5000 0.5000  6 Te 3.41-3.47
Cd: 0.0000 0.0000 0.0000  6 Te 3.11-3.16
Te: 0.9268 0.6031 0.7773  1 Cd 3.11, 2 La 3.23, 3 Tl 3.41-3.43
Te: 0.7527 0.7527 0.2300  1 Cd 3.16, 2 La 3.22, 3 Tl 3.44-3.47
Te: 0.0732 0.3969 0.2227  1 Cd 3.11, 2 La 3.23, 3 Tl 3.41-3.43
Te: 0.6031 0.9268 0.7773  1 Cd 3.11, 2 La 3.23, 3 Tl 3.41-3.43
Te: 0.2473 0.2473 0.7700  1 Cd 3.16, 2 La 3.22, 3 Tl 3.44-3.47
Te: 0.3969 0.0732 0.2227  1 Cd 3.11, 2 La 3.23, 3 Tl 3.41-3.43

***

7.
The following is a DFT calculation (GGA-PBE) of an optimized crystal structure of La2TmCdTe5.

Output
For the uncorrected formation energy, the calculation gives -1.240 eV/atom. The value obtained for the total energy is -4.6790 eV/atom. Its magnetization is 0.00 μB per formula unit. As for the symmetry: No. 36.

Lattice parameters (Å, degrees): 4.4072 9.8983 13.5496 90.00 90.00 102.86
With the nearest neighbours (Å) after each atom.
Atoms (fractional coordinates):
La: 0.8688 0.7377 0.8082  8 Te 3.32-3.52
La: 0.1159 0.2317 0.6831  8 Te 3.30-3.50
La: 0.1312 0.2623 0.3082  8 Te 3.32-3.52
La: 0.8841 0.7683 0.1831  8 Te 3.30-3.50
Tm: 0.7990 0.5979 0.5123  6 Te 3.04-3.12
Tm: 0.2010 0.4021 0.0123  6 Te 3.04-3.12
Cd: 0.5588 0.1176 0.9540  4 Te 2.75-2.96
Cd: 0.4412 0.8824 0.4540  4 Te 2.75-2.96
Te: 0.3581 0.7162 0.0004  1 Tm 3.04, 2 La 3.35
Te: 0.6938 0.3877 0.8501  1 Cd 2.96, 2 Tm 3.12
Te: 0.4966 0.9931 0.7718  1 Cd 2.75
Te: 0.2866 0.5733 0.6674  2 Tm 3.05, 3 La 3.30-3.32
Te: 0.9518 0.9037 0.5768  2 Cd 2.77, 1 Tm 3.08
Te: 0.6419 0.2838 0.5004  1 Tm 3.04, 2 La 3.35
Te: 0.3062 0.6123 0.3501  1 Cd 2.96, 2 Tm 3.12
Te: 0.5034 0.0069 0.2718  1 Cd 2.75
Te: 0.7134 0.4267 0.1674  2 Tm 3.05, 3 La 3.30-3.32
Te: 0.0482 0.0963 0.0768  2 Cd 2.77, 1 Tm 3.08

***

8.
The following is a DFT calculation (GGA-PBE) of an optimized crystal structure of LaThCd.

Output
The formation energy comes out at 0.08 eV/f.u. As for the energy relative to the lowest polymorph listed for this composition: 166.1 meV/atom. The value obtained for the total energy is -4.3952 eV/atom. Its magnetization is 0.00 μB per formula unit. As for the symmetry: No. 156.

Lattice parameters (Å, degrees): 3.6156 5.3637 5.3637 120.00 90.00 90.00
With the nearest neighbours (Å) after each atom.
Atoms (fractional coordinates):
Cd: 0.6844 0.6667 0.3333  3 Th 3.26, 3 La 3.32, 2 Cd 3.62
Th: 0.9655 0.0000 0.0000  3 Cd 3.26, 3 La 3.39, 2 Th 3.62
La: 0.3500 0.3333 0.6667  3 Cd 3.32, 3 Th 3.39, 2 La 3.62